Record 1
# GGA-PBE Tl3Cd, relaxed
# total magnetization: 0.0 Bohr magnetons per cell
# energy of formation from the pure elements: 0.039 eV/atom
data_Tl3Cd
_chemical_formula_sum 'Tl3 Cd1'
_symmetry_space_group_name_H-M 'P -6 m 2'
_symmetry_Int_Tables_number 187
_symmetry_space_group_name_Hall 'P -6 2'
_cell_length_a 3.4889
_cell_length_b 3.4889
_cell_length_c 11.0548
_cell_angle_alpha 90.00
_cell_angle_beta 90.00
_cell_angle_gamma 120.00
loop_
_atom_site_label
_atom_site_fract_x
_atom_site_fract_y
_atom_site_fract_z
_atom_site_occupancy
Tl1 0.0000 0.0000 0.0000 1
Tl2 0.6667 0.3333 0.2655 1
Cd1 0.0000 0.0000 0.5000 1

=====

Record 2
# GGA-PBE SrHoMnSe4, relaxed
# raw formation energy: -1.333 eV/atom
# total magnetization: 8.0 Bohr magnetons per cell
data_SrHoMnSe4
_chemical_formula_sum 'Sr2 Ho2 Mn2 Se8'
_symmetry_space_group_name_H-M 'P 1 21/m 1'
_symmetry_Int_Tables_number 11
_symmetry_space_group_name_Hall '-P 2yb'
_cell_length_a 6.8846
_cell_length_b 6.4379
_cell_length_c 8.5339
_cell_angle_alpha 90.00
_cell_angle_beta 107.35
_cell_angle_gamma 90.00
loop_
_atom_site_label
_atom_site_fract_x
_atom_site_fract_y
_atom_site_fract_z
_atom_site_occupancy
Sr1 0.2502 0.2500 0.0590 1
Ho1 0.2468 0.2500 0.5599 1
Mn1 0.2404 0.7500 0.3209 1
Se1 0.0159 0.5105 0.7281 1
Se2 0.4310 0.7500 0.1274 1
Se3 0.4384 0.7500 0.6017 1

=====

Record 3
# GGA-PBE Rb2LiHg2, relaxed
# total magnetization: 0.0 Bohr magnetons per cell
# energy of formation from the pure elements: -0.133 eV/atom
# energy relative to the lowest polymorph listed for this composition: 0.231 eV/f.u.
data_Rb2LiHg2
_chemical_formula_sum 'Rb4 Li2 Hg4'
_symmetry_space_group_name_H-M 'P 4/m b m'
_symmetry_Int_Tables_number 127
_symmetry_space_group_name_Hall '-P 4 2ab'
_cell_length_a 8.2677
_cell_length_b 8.2677
_cell_length_c 5.7044
_cell_angle_alpha 90.00
_cell_angle_beta 90.00
_cell_angle_gamma 90.00
loop_
_atom_site_label
_atom_site_fract_x
_atom_site_fract_y
_atom_site_fract_z
_atom_site_occupancy
Rb1 0.1741 0.3259 0.0000 1
Li1 0.0000 0.0000 0.5000 1
Hg1 0.1351 0.6351 0.5000 1

=====

Record 4
# GGA-PBE La2PmTm7, relaxed
# total magnetization: 0.0 Bohr magnetons per cell
# energy of formation from the pure elements: 0.031 eV/atom
# energy relative to the lowest polymorph listed for this composition: 0.000 eV/f.u.
data_La2PmTm7
_chemical_formula_sum 'La2 Pm1 Tm7'
_symmetry_space_group_name_H-M 'P -1'
_symmetry_Int_Tables_number 2
_symmetry_space_group_name_Hall '-P 1'
_cell_length_a 6.1229
_cell_length_b 7.0963
_cell_length_c 7.9989
_cell_angle_alpha 76.88
_cell_angle_beta 74.97
_cell_angle_gamma 74.12
loop_
_atom_site_label
_atom_site_fract_x
_atom_site_fract_y
_atom_site_fract_z
_atom_site_occupancy
La1 0.2019 0.2949 0.0998 1
Pm1 0.0000 0.5000 0.5000 1
Tm1 0.0000 0.0000 0.5000 1
Tm2 0.1976 0.8003 0.1032 1
Tm3 0.3992 0.6013 0.6965 1
Tm4 0.3997 0.1001 0.6958 1

=====

Record 5
# GGA-PBE Cu3ReO, relaxed
# raw formation energy: 2.027 eV/atom
# total magnetization: 0.0 Bohr magnetons per cell
# energy relative to the lowest polymorph listed for this composition: 6.896 eV/f.u.
data_Cu3ReO
_chemical_formula_sum 'Cu3 Re1 O1'
_symmetry_space_group_name_H-M 'P m -3 m'
_symmetry_Int_Tables_number 221
_symmetry_space_group_name_Hall '-P 4 2 3'
_cell_length_a 4.6385
_cell_length_b 4.6385
_cell_length_c 4.6385
_cell_angle_alpha 90.00
_cell_angle_beta 90.00
_cell_angle_gamma 90.00
loop_
_atom_site_label
_atom_site_fract_x
_atom_site_fract_y
_atom_site_fract_z
_atom_site_occupancy
Cu1 0.0000 0.0000 0.5000 1
Re1 0.0000 0.0000 0.0000 1
O1 0.5000 0.5000 0.5000 1

=====

Record 6
# GGA-PBE BeInC3, relaxed
# total magnetization: 0.0 Bohr magnetons per cell
# energy of formation from the pure elements: 3.505 eV/atom
# energy relative to the lowest polymorph listed for this composition: 6.177 eV/f.u.
data_BeInC3
_chemical_formula_sum 'Be1 In1 C3'
_symmetry_space_group_name_H-M 'P m -3 m'
_symmetry_Int_Tables_number 221
_symmetry_space_group_name_Hall '-P 4 2 3'
_cell_length_a 4.3062
_cell_length_b 4.3062
_cell_length_c 4.3062
_cell_angle_alpha 90.00
_cell_angle_beta 90.00
_cell_angle_gamma 90.00
loop_
_atom_site_label
_atom_site_fract_x
_atom_site_fract_y
_atom_site_fract_z
_atom_site_occupancy
Be1 0.0000 0.0000 0.0000 1
In1 0.5000 0.5000 0.5000 1
C1 0.0000 0.5000 0.5000 1

=====

Record 7
# GGA-PBE SnSb2H2, relaxed
# total magnetization: 0.0 Bohr magnetons per cell
# energy relative to the lowest polymorph listed for this composition: 0.000 eV/f.u.
data_SnSb2H2
_chemical_formula_sum 'Sn1 Sb2 H2'
_symmetry_space_group_name_H-M 'P -1'
_symmetry_Int_Tables_number 2
_symmetry_space_group_name_Hall '-P 1'
_cell_length_a 4.9982
_cell_length_b 5.0061
_cell_length_c 5.0098
_cell_angle_alpha 69.46
_cell_angle_beta 67.91
_cell_angle_gamma 69.31
loop_
_atom_site_label
_atom_site_fract_x
_atom_site_fract_y
_atom_site_fract_z
_atom_site_occupancy
Sn1 0.0000 0.0000 0.0000 1
Sb1 0.3516 0.3510 0.3529 1
H1 0.1859 0.1826 0.1874 1

=====

Record 8
# GGA-PBE LaCrP, relaxed
# total magnetization: 1.5 Bohr magnetons per cell
# energy of formation from the pure elements: -0.294 eV/atom
data_LaCrP
_chemical_formula_sum 'La2 Cr2 P2'
_symmetry_space_group_name_H-M 'I 4 m m'
_symmetry_Int_Tables_number 107
_symmetry_space_group_name_Hall 'I 4 -2'
_cell_length_a 3.1897
_cell_length_b 3.1897
_cell_length_c 10.8711
_cell_angle_alpha 90.00
_cell_angle_beta 90.00
_cell_angle_gamma 90.00
loop_
_atom_site_label
_atom_site_fract_x
_atom_site_fract_y
_atom_site_fract_z
_atom_site_occupancy
La1 0.0000 0.0000 0.0000 1
Cr1 0.0000 0.0000 0.7087 1
P1 0.0000 0.0000 0.2877 1